Material: HoCuSe
Method: DFT, PBE
State: optimized geometry

Output
- uncorrected formation energy (eV/atom) = -0.607
- M_tot (μB/cell) = 0.000

Cell lengths 10.338, 3.873, 3.873 Å; angles 60.02, 90.00, 90.00 degrees
Positions (direct):
Ho  0.178  0.000  0.000
Ho  0.822  0.000  0.000
Cu  0.000  0.333  0.333
Cu  0.500  0.001  0.001
Se  0.345  0.333  0.333
Se  0.655  0.333  0.333

=====

Material: CdIrRhO6
Method: DFT, PBE
State: optimized geometry

Output
- uncorrected formation energy (eV/atom) = -0.717
- M_tot (μB/cell) = 2.681

Cell lengths 5.267, 5.267, 9.486 Å; angles 90.00, 90.00, 120.00 degrees
Positions (direct):
Cd  0.000  0.000  0.000
Cd  0.000  0.000  0.500
Ir  0.333  0.667  0.250
Ir  0.667  0.333  0.750
Rh  0.333  0.667  0.750
Rh  0.667  0.333  0.250
O  0.006  0.374  0.139
O  0.006  0.633  0.361
O  0.367  0.374  0.361
O  0.367  0.994  0.139
O  0.374  0.006  0.639
O  0.374  0.367  0.861
O  0.626  0.633  0.139
O  0.626  0.994  0.361
O  0.633  0.006  0.861
O  0.633  0.626  0.639
O  0.994  0.367  0.639
O  0.994  0.626  0.861

=====

Material: Si2NiRh
Method: DFT, PBE
State: optimized geometry

Output
- uncorrected formation energy (eV/atom) = -0.527
- M_tot (μB/cell) = 0.000

Cell lengths 4.435, 4.435, 4.121 Å; angles 103.65, 103.65, 39.74 degrees
Positions (direct):
Si  0.000  0.000  0.000
Si  0.243  0.243  0.648
Ni  0.735  0.735  0.116
Rh  0.506  0.506  0.503

=====

Material: Pa6Tc5Ru
Method: DFT, PBE
State: optimized geometry

Output
- formation energy (eV/atom) = -0.240
- M_tot (μB/cell) = 0.000

Cell lengths 4.108, 7.340, 8.418 Å; angles 90.00, 103.11, 90.00 degrees
Positions (direct):
Pa  0.000  0.244  0.000
Pa  0.000  0.756  0.000
Pa  0.360  0.255  0.656
Pa  0.360  0.745  0.656
Pa  0.640  0.255  0.344
Pa  0.640  0.745  0.344
Tc  0.068  0.000  0.331
Tc  0.168  0.500  0.287
Tc  0.500  0.000  0.000
Tc  0.832  0.500  0.713
Tc  0.932  0.000  0.669
Ru  0.500  0.500  0.000

=====

Material: La2Pr3Nd8
Method: DFT, PBE
State: optimized geometry

Output
- formation energy (eV/atom) = 0.142
- M_tot (μB/cell) = 0.000

Cell lengths 9.029, 9.029, 6.303 Å; angles 107.05, 107.05, 83.64 degrees
Positions (direct):
La  0.207  0.207  0.352
La  0.793  0.793  0.648
Pr  0.260  0.740  0.000
Pr  0.500  0.500  0.500
Pr  0.740  0.260  0.000
Nd  0.060  0.060  0.782
Nd  0.072  0.582  0.322
Nd  0.344  0.344  0.953
Nd  0.418  0.928  0.678
Nd  0.582  0.072  0.322
Nd  0.656  0.656  0.047
Nd  0.928  0.418  0.678
Nd  0.940  0.940  0.218

=====

Material: Na2CaFeAs
Method: DFT, PBE
State: optimized geometry

Output
- formation energy (eV/atom) = 0.184
- M_tot (μB/cell) = 2.589

Cell lengths 5.506, 5.506, 4.573 Å; angles 90.00, 90.00, 90.00 degrees
Positions (direct):
Na  0.000  0.500  0.000
Na  0.500  0.000  0.000
Ca  0.000  0.000  0.500
Fe  0.500  0.500  0.500
As  0.500  0.500  0.000

=====

Material: Ce4TlAu
Method: DFT, PBE
State: optimized geometry

Output
- formation energy (eV/atom) = -0.210
- M_tot (μB/cell) = 2.193

Cell lengths 6.129, 6.129, 5.062 Å; angles 114.39, 114.39, 99.36 degrees
Positions (direct):
Ce  0.061  0.410  0.237
Ce  0.410  0.061  0.237
Ce  0.590  0.939  0.763
Ce  0.939  0.590  0.763
Tl  0.500  0.500  0.000
Au  0.000  0.000  0.500

=====

Material: Nd4YS7
Method: DFT, PBE
State: optimized geometry

Output
- uncorrected formation energy (eV/atom) = -2.061
- M_tot (μB/cell) = 0.000

Cell lengths 6.930, 6.930, 11.887 Å; angles 104.47, 104.47, 33.00 degrees
Positions (direct):
Nd  0.000  0.000  0.000
Nd  0.190  0.190  0.768
Nd  0.587  0.587  0.384
Nd  0.888  0.888  0.574
Y  0.776  0.776  0.154
S  0.155  0.155  0.223
S  0.227  0.227  0.524
S  0.384  0.384  0.079
S  0.548  0.548  0.627
S  0.631  0.631  0.932
S  0.847  0.847  0.791
S  0.928  0.928  0.355

=====

Material: IrPb2W
Method: DFT, PBE
State: optimized geometry

Output
- formation energy (eV/atom) = 1.009
- M_tot (μB/cell) = 0.000

Cell lengths 3.079, 4.592, 5.778 Å; angles 90.00, 92.09, 90.00 degrees
Positions (direct):
Ir  0.000  0.000  0.000
Pb  0.218  0.500  0.752
Pb  0.782  0.500  0.248
W  0.500  0.000  0.500

=====

Material: Nd2SmIn2
Method: DFT, PBE
State: optimized geometry

Output
- formation energy (eV/atom) = -0.385
- M_tot (μB/cell) = 0.000

Cell lengths 3.851, 5.473, 14.431 Å; angles 90.00, 97.70, 90.00 degrees
Positions (direct):
Nd  0.047  0.250  0.095
Nd  0.236  0.250  0.472
Nd  0.764  0.750  0.528
Nd  0.953  0.750  0.905
Sm  0.146  0.750  0.294
Sm  0.854  0.250  0.706
In  0.357  0.750  0.714
In  0.449  0.250  0.899
In  0.551  0.750  0.101
In  0.643  0.250  0.286

=====

Material: BeCu2C
Method: DFT, PBE
State: optimized geometry

Output
- formation energy (eV/atom) = 1.002
- M_tot (μB/cell) = 0.000

Cell lengths 7.548, 7.548, 7.548 Å; angles 154.22, 154.22, 36.78 degrees
Positions (direct):
Be  0.000  0.000  0.000
Be  0.750  0.250  0.500
Cu  0.146  0.625  0.021
Cu  0.375  0.396  0.521
Cu  0.604  0.125  0.979
Cu  0.875  0.854  0.479
C  0.250  0.750  0.500
C  0.500  0.500  0.000

=====

Material: TlSnPb2Cl8
Method: DFT, PBE
State: optimized geometry

Output
- uncorrected formation energy (eV/atom) = -1.023
- M_tot (μB/cell) = 0.000

Cell lengths 6.600, 8.900, 6.855 Å; angles 90.00, 90.83, 90.00 degrees
Positions (direct):
Tl  0.000  0.000  0.000
Sn  0.000  0.500  0.000
Pb  0.500  0.251  0.500
Pb  0.500  0.749  0.500
Cl  0.227  0.291  0.168
Cl  0.227  0.709  0.168
Cl  0.249  0.500  0.693
Cl  0.279  0.000  0.637
Cl  0.721  0.000  0.363
Cl  0.751  0.500  0.307
Cl  0.773  0.291  0.832
Cl  0.773  0.709  0.832

=====

Material: KSm2Te4Pb
Method: DFT, PBE
State: optimized geometry

Output
- uncorrected formation energy (eV/atom) = -0.986
- M_tot (μB/cell) = 0.000

Cell lengths 8.133, 8.133, 16.592 Å; angles 90.00, 90.00, 147.52 degrees
Positions (direct):
K  0.145  0.855  0.750
K  0.855  0.145  0.250
Sm  0.375  0.625  0.563
Sm  0.375  0.625  0.937
Sm  0.625  0.375  0.063
Sm  0.625  0.375  0.437
Te  0.000  0.000  0.000
Te  0.000  0.000  0.500
Te  0.269  0.731  0.098
Te  0.269  0.731  0.402
Te  0.480  0.520  0.750
Te  0.520  0.480  0.250
Te  0.731  0.269  0.598
Te  0.731  0.269  0.902
Pb  0.143  0.857  0.250
Pb  0.857  0.143  0.750

=====

Material: Ce2ThMn
Method: DFT, PBE
State: optimized geometry

Output
- formation energy (eV/atom) = 0.304
- M_tot (μB/cell) = 0.001

Cell lengths 6.744, 6.744, 6.744 Å; angles 37.06, 37.06, 37.06 degrees
Positions (direct):
Ce  0.000  0.000  0.000
Ce  0.228  0.228  0.228
Th  0.444  0.444  0.444
Mn  0.641  0.641  0.641

=====

Material: Ag2HgPt
Method: DFT, PBE
State: optimized geometry

Output
- formation energy (eV/atom) = 0.023
- M_tot (μB/cell) = 0.000

Cell lengths 2.962, 4.130, 5.896 Å; angles 90.00, 90.00, 90.00 degrees
Positions (direct):
Ag  0.000  0.000  0.000
Ag  0.500  0.500  0.242
Hg  0.500  0.500  0.732
Pt  0.000  0.000  0.490

=====

Material: Li3Mg3Pb2
Method: DFT, PBE
State: optimized geometry

Output
- formation energy (eV/atom) = -0.181
- M_tot (μB/cell) = 0.000

Cell lengths 5.242, 5.242, 9.257 Å; angles 115.69, 115.69, 50.91 degrees
Positions (direct):
Li  0.000  0.000  0.000
Li  0.501  0.501  0.249
Li  0.505  0.505  0.746
Mg  0.004  0.004  0.495
Mg  0.247  0.247  0.363
Mg  0.258  0.258  0.880
Pb  0.745  0.745  0.117
Pb  0.762  0.762  0.631

=====

Material: LaSmDyEr
Method: DFT, PBE
State: optimized geometry

Output
- formation energy (eV/atom) = 0.105
- M_tot (μB/cell) = 0.000

Cell lengths 5.750, 5.750, 5.750 Å; angles 60.00, 60.00, 60.00 degrees
Positions (direct):
La  0.000  0.000  0.000
Sm  0.500  0.500  0.500
Dy  0.750  0.750  0.750
Er  0.250  0.250  0.250

=====

Material: Na2SmI6
Method: DFT, PBE
State: optimized geometry

Output
- uncorrected formation energy (eV/atom) = -1.060
- M_tot (μB/cell) = 0.000

Cell lengths 6.915, 6.915, 12.942 Å; angles 104.53, 104.53, 40.41 degrees
Positions (direct):
Na  0.223  0.223  0.173
Na  0.777  0.777  0.827
Sm  0.000  0.000  0.500
I  0.016  0.016  0.271
I  0.337  0.337  0.430
I  0.370  0.370  0.989
I  0.630  0.630  0.011
I  0.663  0.663  0.570
I  0.984  0.984  0.729

=====

Material: BaPBr2
Method: DFT, PBE
State: optimized geometry

Output
- uncorrected formation energy (eV/atom) = -0.870
- M_tot (μB/cell) = 0.653

Cell lengths 7.299, 7.299, 4.392 Å; angles 105.16, 105.16, 38.43 degrees
Positions (direct):
Ba  0.000  0.000  0.000
P  0.815  0.815  0.333
Br  0.268  0.268  0.195
Br  0.557  0.557  0.553

=====

Material: ZrCo3Sn
Method: DFT, PBE
State: optimized geometry

Output
- formation energy (eV/atom) = 1.205
- M_tot (μB/cell) = 1.970

Cell lengths 4.576, 4.576, 4.576 Å; angles 90.00, 90.00, 90.00 degrees
Positions (direct):
Zr  0.000  0.000  0.000
Co  0.000  0.000  0.500
Co  0.000  0.500  0.000
Co  0.500  0.000  0.000
Sn  0.500  0.500  0.500